The following is a PBE+U calculation of a relaxed structure of NiAgRhF6, from Alexandria via LeMat-Bulk.

POSCAR file:
```
NiAgRhF6
1.0
5.0064 0.0000 0.0000
0.0000 5.0064 0.0000
0.0000 0.0000 9.8344
F Ni Ag Rh
12 2 2 2
direct
0.1732 0.8268 0.4962
0.2870 0.2870 0.3160
0.8268 0.1732 0.4962
0.7870 0.2130 0.8160
0.2893 0.2893 0.6874
0.3268 0.3268 0.9962
0.7107 0.7107 0.6874
0.2107 0.7893 0.1874
0.2130 0.7870 0.8160
0.6732 0.6732 0.9962
0.7893 0.2107 0.1874
0.7130 0.7130 0.3160
0.5000 0.5000 0.1694
0.0000 0.0000 0.6694
0.0000 0.0000 0.9993
0.5000 0.5000 0.4993
0.0000 0.0000 0.3318
0.5000 0.5000 0.8318
```

The following is a PBE+U calculation of a relaxed structure of SrNiAgF6, from Alexandria via LeMat-Bulk.

POSCAR file:
```
SrNiAgF6
1.0
-4.3923 3.4407 -1.7293
0.1857 -1.9567 5.5007
4.6693 7.1618 2.3899
F Sr Ni Ag
12 2 2 2
direct
0.3688 0.0566 0.1261
0.0566 0.3688 0.6261
0.0566 0.6878 0.8739
0.3122 0.9434 0.6261
0.6878 0.6312 0.1261
0.3122 0.3688 0.8739
0.3688 0.3122 0.3739
0.6312 0.9434 0.8739
0.9434 0.6312 0.3739
0.9434 0.3122 0.1261
0.6878 0.0566 0.3739
0.6312 0.6878 0.6261
0.3333 0.6667 0.2500
0.6667 0.3333 0.7500
0.3333 0.6667 0.7500
0.6667 0.3333 0.2500
0.0000 0.0000 0.0000
0.0000 0.0000 0.5000
```

The following is a PBE+U calculation of a relaxed structure of SrNiAg2F6, from Alexandria via LeMat-Bulk.

POSCAR file:
```
SrNiAg2F6
1.0
-4.4387 -2.4830 -2.9407
-0.0659 -4.5833 3.9694
-5.4132 4.3108 4.8875
F Ni Ag Sr
12 2 4 2
direct
0.8275 0.7763 0.9286
0.7241 0.3187 0.9387
0.2759 0.6813 0.0613
0.6725 0.2763 0.5714
0.3777 0.9431 0.7239
0.6223 0.0569 0.2761
0.1725 0.2237 0.0714
0.1223 0.4431 0.7761
0.8777 0.5569 0.2239
0.7759 0.8187 0.5613
0.3275 0.7237 0.4286
0.2241 0.1813 0.4387
0.0000 0.5000 0.0000
0.5000 0.0000 0.5000
0.4812 0.4430 0.2507
0.5188 0.5570 0.7493
0.0188 0.9430 0.2493
0.9812 0.0570 0.7507
0.5000 0.0000 0.0000
0.0000 0.5000 0.5000
```

The following is a PBE+U calculation of a relaxed structure of SrNiAg2F8, from Alexandria via LeMat-Bulk.

POSCAR file:
```
SrNiAg2F8
1.0
5.8694 0.0000 0.0000
0.0000 5.8694 0.0000
-2.9347 -2.9347 4.9845
F Ni Sr Ag
8 1 1 2
direct
0.3952 0.4594 0.5561
0.1609 0.0967 0.5561
0.1010 0.6722 0.9392
0.9033 0.6048 0.4439
0.3278 0.1618 0.0608
0.8382 0.2670 0.9392
0.7330 0.8990 0.0608
0.5406 0.8391 0.4439
0.0000 0.0000 0.0000
0.7500 0.2500 0.5000
0.5000 0.5000 0.0000
0.2500 0.7500 0.5000
```

no.,electronic total energy (eV per atom)
1,-4.23
2,-4.37
3,-4.30
4,-3.97